# 1
Co2PdRu | the Alexandria database | GGA-PBE | relaxed; VASP energy = -104.14 eV per cell; total magnetic moment = 7.94 Bohr magnetons per cell
1.0
6.508 0.000 0.000
0.000 6.508 0.000
0.000 0.000 5.289
Co Pd Ru
8 4 4
direct
0.224 0.250 0.125 Co
0.250 0.724 0.375 Co
0.250 0.776 0.875 Co
0.276 0.250 0.625 Co
0.724 0.750 0.625 Co
0.750 0.224 0.875 Co
0.750 0.276 0.375 Co
0.776 0.750 0.125 Co
0.000 0.000 0.500 Pd
0.000 0.500 0.750 Pd
0.500 0.000 0.250 Pd
0.500 0.500 0.000 Pd
0.000 0.000 0.000 Ru
0.000 0.500 0.250 Ru
0.500 0.000 0.750 Ru
0.500 0.500 0.500 Ru

# 2
Co4PdRu | the Alexandria database | GGA-PBE | relaxed; VASP energy = -42.09 eV per cell; total magnetic moment = 9.03 Bohr magnetons per cell
1.0
0.000 3.342 3.342
3.342 0.000 3.342
3.342 3.342 0.000
Co Pd Ru
4 1 1
direct
0.125 0.125 0.125 Co
0.125 0.125 0.624 Co
0.125 0.624 0.125 Co
0.624 0.125 0.125 Co
0.750 0.750 0.750 Pd
0.500 0.500 0.500 Ru

# 3
CoPd2Ru | the Alexandria database | GGA-PBE | relaxed; offset from the most stable computed form = 0.85 eV per formula unit; VASP energy = -96.05 eV per cell; total magnetic moment = 16.18 Bohr magnetons per cell
1.0
6.914 0.000 0.000
0.000 6.914 0.000
0.000 0.000 5.192
Co Pd Ru
4 8 4
direct
0.000 0.000 0.000 Co
0.000 0.500 0.250 Co
0.500 0.000 0.750 Co
0.500 0.500 0.500 Co
0.230 0.250 0.125 Pd
0.250 0.730 0.375 Pd
0.250 0.770 0.875 Pd
0.270 0.250 0.625 Pd
0.730 0.750 0.625 Pd
0.750 0.230 0.875 Pd
0.750 0.270 0.375 Pd
0.770 0.750 0.125 Pd
0.000 0.000 0.500 Ru
0.000 0.500 0.750 Ru
0.500 0.000 0.250 Ru
0.500 0.500 0.000 Ru

no.,formation energy (eV/f.u.)
1,2.64
2,0.80
3,2.76